Arrangement 1

Material: BaNaSr2Tl
Method: DFT, PBE-GGA
State: relaxed

The space group is P4/mmm (No. 123) and the conventional cell measures 6.519, 6.519 and 6.703 Å, with angles of 90.00, 90.00 and 90.00 degrees. The inequivalent atoms are Ba at (0.000, 0.000, 0.000), Na at (0.500, 0.500, 0.000), Sr at (0.000, 0.500, 0.500) and Tl at (0.000, 0.000, 0.500).

The calculation puts the density of states at the Fermi level at 4.43 states/eV/f.u. Its calculated volume is 57.0 A^3/atom. The calculation puts the size of the total moment at 0.0 μB/cell.

***

Arrangement 2

Material: BaNaSr2Tl
Method: DFT, PBE-GGA
State: relaxed

The space group is P4/mmm (No. 123) and the conventional cell measures 6.514, 6.514 and 6.096 Å, with angles of 90.00, 90.00 and 90.00 degrees. The inequivalent atoms are Ba at (0.000, 0.000, 0.000), Na at (0.500, 0.500, 0.000), Sr at (0.000, 0.500, 0.500) and Tl at (0.500, 0.500, 0.500).

The calculation puts the density of states at the Fermi level at 6.16 states/eV/f.u. Its calculated volume is 51.7 A^3/atom. The calculation puts the size of the total moment at 0.0 μB/cell.

***

Most stable structure, least stable structure: arrangement 1, arrangement 2.

***

Arrangement 1

Material: BaNaSr2Zn
Method: DFT, PBE-GGA
State: relaxed

The space group is P4/mmm (No. 123) and the conventional cell measures 6.289, 6.289 and 6.432 Å, with angles of 90.00, 90.00 and 90.00 degrees. The inequivalent atoms are Ba at (0.000, 0.000, 0.000), Na at (0.500, 0.500, 0.000), Sr at (0.000, 0.500, 0.500) and Zn at (0.000, 0.000, 0.500).

The calculation puts the density of states at the Fermi level at 4.44 states/eV/f.u. Its calculated volume is 50.9 A^3/atom. The calculation puts the size of the total moment at 0.0 μB/cell.

***

Arrangement 2

Material: BaNaSr2Zn
Method: DFT, PBE-GGA
State: relaxed

The space group is P4/mmm (No. 123) and the conventional cell measures 6.303, 6.303 and 5.962 Å, with angles of 90.00, 90.00 and 90.00 degrees. The inequivalent atoms are Ba at (0.000, 0.000, 0.000), Na at (0.500, 0.500, 0.000), Sr at (0.000, 0.500, 0.500) and Zn at (0.500, 0.500, 0.500).

The calculation puts the density of states at the Fermi level at 5.26 states/eV/f.u. Its calculated volume is 47.4 A^3/atom. The calculation puts the size of the total moment at 0.0 μB/cell.

***

Most stable structure, least stable structure: arrangement 1, arrangement 2.

***

Arrangement 1

Material: BaNaTa3
Method: DFT, PBE-GGA
State: relaxed

The space group is Pm-3m (No. 221) and the conventional cell measures 5.019, 5.019 and 5.019 Å, with angles of 90.00, 90.00 and 90.00 degrees. The inequivalent atoms are Ba at (0.000, 0.000, 0.000), Na at (0.500, 0.500, 0.500) and Ta at (0.000, 0.500, 0.500).

The calculation puts the density of states at the Fermi level at 6.72 states/eV/f.u. Its calculated volume is 25.3 A^3/atom. The calculation puts the size of the total moment at 0.9 μB/cell.

***

Arrangement 2

Material: BaNaTa3
Method: DFT, PBE-GGA
State: relaxed

The space group is Pm-3m (No. 221) and the conventional cell measures 5.165, 5.165 and 5.165 Å, with angles of 90.00, 90.00 and 90.00 degrees. The inequivalent atoms are Ba at (0.000, 0.000, 0.000), Na at (0.500, 0.500, 0.500) and Ta at (0.000, 0.000, 0.500).

The calculation puts the density of states at the Fermi level at 4.70 states/eV/f.u. Its calculated volume is 27.6 A^3/atom. The calculation puts the size of the total moment at 0.0 μB/cell.

***

Most stable structure, least stable structure: arrangement 1, arrangement 2.

***

Arrangement 1

Material: BaNaTa2
Method: DFT, PBE-GGA
State: relaxed

The space group is I-42d (No. 122) and the conventional cell measures 8.917, 8.917 and 5.492 Å, with angles of 90.00, 90.00 and 90.00 degrees. The inequivalent atoms are Ba at (0.000, 0.000, 0.000), Na at (0.000, 0.000, 0.500) and Ta at (0.230, 0.250, 0.625).

The calculation puts the density of states at the Fermi level at 6.07 states/eV/f.u. Its calculated volume is 27.3 A^3/atom. The calculation puts the size of the total moment at 0.0 μB/cell.

***

Arrangement 2

Material: BaNaTa2
Method: DFT, PBE-GGA
State: relaxed

The space group is Fm-3m (No. 225) and the conventional cell measures 7.300, 7.300 and 7.300 Å, with angles of 90.00, 90.00 and 90.00 degrees. The inequivalent atoms are Ba at (0.000, 0.000, 0.000), Na at (0.000, 0.000, 0.500) and Ta at (0.250, 0.250, 0.250).

The calculation puts the density of states at the Fermi level at 8.19 states/eV/f.u. Its calculated volume is 24.3 A^3/atom. The calculation puts the size of the total moment at 0.0 μB/cell.

***

Most stable structure, least stable structure: arrangement 1, arrangement 2.

***

Arrangement 1

Material: BaNa2Ta
Method: DFT, PBE-GGA
State: relaxed

The space group is I-42d (No. 122) and the conventional cell measures 9.068, 9.068 and 6.252 Å, with angles of 90.00, 90.00 and 90.00 degrees. The inequivalent atoms are Ba at (0.000, 0.000, 0.000), Na at (0.224, 0.250, 0.625) and Ta at (0.000, 0.000, 0.500).

The calculation puts the density of states at the Fermi level at 5.51 states/eV/f.u. Its calculated volume is 32.1 A^3/atom. The calculation puts the size of the total moment at 0.0 μB/cell.

***

Arrangement 2

Material: BaNa2Ta
Method: DFT, PBE-GGA
State: relaxed

The space group is Fm-3m (No. 225) and the conventional cell measures 8.093, 8.093 and 8.093 Å, with angles of 90.00, 90.00 and 90.00 degrees. The inequivalent atoms are Ba at (0.000, 0.000, 0.000), Na at (0.250, 0.250, 0.250) and Ta at (0.000, 0.000, 0.500).

The calculation puts the density of states at the Fermi level at 4.66 states/eV/f.u. Its calculated volume is 33.1 A^3/atom. The calculation puts the size of the total moment at 15.5 μB/cell.

***

Most stable structure, least stable structure: arrangement 2, arrangement 1.

***

Arrangement 1

Material: Ba2NaTa
Method: DFT, PBE-GGA
State: relaxed

The space group is I-42d (No. 122) and the conventional cell measures 5.178, 5.178 and 23.547 Å, with angles of 90.00, 90.00 and 90.00 degrees. The inequivalent atoms are Ba at (0.233, 0.250, 0.125), Na at (0.000, 0.000, 0.500) and Ta at (0.000, 0.000, 0.000).

The calculation puts the density of states at the Fermi level at 3.93 states/eV/f.u. Its calculated volume is 39.5 A^3/atom. The calculation puts the size of the total moment at 10.2 μB/cell.

***

Arrangement 2

Material: Ba2NaTa
Method: DFT, PBE-GGA
State: relaxed

The space group is Fm-3m (No. 225) and the conventional cell measures 8.587, 8.587 and 8.587 Å, with angles of 90.00, 90.00 and 90.00 degrees. The inequivalent atoms are Ba at (0.250, 0.250, 0.250), Na at (0.000, 0.000, 0.000) and Ta at (0.000, 0.000, 0.500).

The calculation puts the density of states at the Fermi level at 6.45 states/eV/f.u. Its calculated volume is 39.6 A^3/atom. The calculation puts the size of the total moment at 17.1 μB/cell.

***

Most stable structure, least stable structure: arrangement 2, arrangement 1.

***

Arrangement 1

Material: Ba2Na2Tc
Method: DFT, PBE-GGA
State: relaxed

The space group is P4/mbm (No. 127) and the conventional cell measures 8.225, 8.225 and 5.543 Å, with angles of 90.00, 90.00 and 90.00 degrees. The inequivalent atoms are Ba at (0.192, 0.308, 0.000), Na at (0.132, 0.632, 0.500) and Tc at (0.000, 0.000, 0.500).

The calculation puts the density of states at the Fermi level at 8.57 states/eV/f.u. Its calculated volume is 37.5 A^3/atom. The calculation puts the size of the total moment at 4.4 μB/cell.

***

Arrangement 2

Material: Ba2Na2Tc
Method: DFT, PBE-GGA
State: relaxed

The space group is I4/mmm (No. 139) and the conventional cell measures 6.679, 6.679 and 8.680 Å, with angles of 90.00, 90.00 and 90.00 degrees. The inequivalent atoms are Ba at (0.000, 0.500, 0.250), Na at (0.000, 0.000, 0.155) and Tc at (0.000, 0.000, 0.500).

The calculation puts the density of states at the Fermi level at 8.42 states/eV/f.u. Its calculated volume is 38.7 A^3/atom. The calculation puts the size of the total moment at 4.7 μB/cell.

***

Most stable structure, least stable structure: arrangement 1, arrangement 2.

***

Arrangement 1

Material: BaNaTc3
Method: DFT, PBE-GGA
State: relaxed

The space group is Pm-3m (No. 221) and the conventional cell measures 4.974, 4.974 and 4.974 Å, with angles of 90.00, 90.00 and 90.00 degrees. The inequivalent atoms are Ba at (0.000, 0.000, 0.000), Na at (0.500, 0.500, 0.500) and Tc at (0.000, 0.500, 0.500).

The calculation puts the density of states at the Fermi level at 7.56 states/eV/f.u. Its calculated volume is 24.6 A^3/atom. The calculation puts the size of the total moment at 8.3 μB/cell.

***

Arrangement 2

Material: BaNaTc3
Method: DFT, PBE-GGA
State: relaxed

The space group is Pm-3m (No. 221) and the conventional cell measures 5.209, 5.209 and 5.209 Å, with angles of 90.00, 90.00 and 90.00 degrees. The inequivalent atoms are Ba at (0.000, 0.000, 0.000), Na at (0.500, 0.500, 0.500) and Tc at (0.000, 0.000, 0.500).

The calculation puts the density of states at the Fermi level at 2.67 states/eV/f.u. Its calculated volume is 28.3 A^3/atom. The calculation puts the size of the total moment at 7.6 μB/cell.

***

Most stable structure, least stable structure: arrangement 1, arrangement 2.